Record 1
VASP calculation (PBE) on crystalline TmHfPa2N6 at its relaxed geometry.

## Properties
crystal system	trigonal
uncorrected formation energy	-14.87	eV per formula unit

The structure in POSCAR format:
```
TmHfPa2N6
1.0
-3.847 -4.294 -0.727
1.581 -4.889 -2.714
0.613 -5.020 3.178
N Hf Pa Tm
6 1 2 1
direct
0.613 0.209 0.244
0.138 0.407 0.754
0.700 0.138 0.754
0.407 0.700 0.754
0.209 0.934 0.244
0.934 0.613 0.244
0.308 0.308 0.075
0.526 0.526 0.422
0.024 0.024 0.929
0.802 0.802 0.594
```

---

Record 2
VASP calculation (PBE) on crystalline MgCd2Cu9 at its relaxed geometry.

## Properties
crystal system	trigonal
calculated formation energy	8	meV/atom

The structure in POSCAR format:
```
MgCd2Cu9
1.0
5.005 0.000 0.000
2.503 4.335 0.000
2.503 1.445 8.048
Cd Mg Cu
2 1 9
direct
0.857 0.857 0.428
0.143 0.143 0.572
0.000 0.000 0.000
0.585 0.081 0.750
0.334 0.334 0.999
0.081 0.585 0.750
0.585 0.585 0.750
0.500 0.500 0.500
0.415 0.919 0.250
0.919 0.415 0.250
0.666 0.666 0.001
0.415 0.415 0.250
```

---

Record 3
VASP calculation (PBE) on crystalline ScZnTc at its relaxed geometry.

## Properties
crystal system	trigonal
calculated formation energy	-46	meV/atom

The structure in POSCAR format:
```
ScZnTc
1.0
4.564 0.000 0.000
-2.282 3.953 0.000
0.000 0.000 2.741
Tc Sc Zn
1 1 1
direct
0.667 0.333 0.384
0.000 0.000 0.009
0.333 0.667 0.607
```

---

Record 4
VASP calculation (PBE) on crystalline Hg2MoPt at its relaxed geometry.

## Properties
crystal system	monoclinic
calculated formation energy	406	meV/atom

The structure in POSCAR format:
```
Hg2MoPt
1.0
5.000 0.003 0.006
4.152 2.786 0.006
0.858 0.262 5.252
Pt Hg Mo
1 2 1
direct
0.250 0.250 0.250
0.000 0.000 0.000
0.500 0.500 0.500
0.750 0.750 0.750
```

---

Record 5
VASP calculation (PBE) on crystalline LiZr3Br at its relaxed geometry.

## Properties
crystal system	cubic
uncorrected formation energy	2.43	eV per formula unit

The structure in POSCAR format:
```
LiZr3Br
1.0
5.032 0.000 0.000
0.000 5.032 0.000
0.000 0.000 5.032
Br Zr Li
1 3 1
direct
0.000 0.000 0.000
0.500 0.000 0.000
0.000 0.500 0.000
0.000 0.000 0.500
0.500 0.500 0.500
```

---

Record 6
VASP calculation (PBE) on crystalline Tl2CdSiSe4 at its relaxed geometry.

## Properties
crystal system	orthorhombic
uncorrected formation energy	-2.16	eV per formula unit

The structure in POSCAR format:
```
Tl2CdSiSe4
1.0
8.290 0.011 -0.176
0.006 8.290 -0.176
-4.258 -4.261 6.045
Cd Si Tl Se
2 2 4 8
direct
0.000 0.500 0.000
0.000 0.500 0.500
0.000 0.000 0.000
0.500 0.500 0.500
0.000 0.000 0.500
0.500 0.000 0.500
0.500 0.000 0.000
0.500 0.500 0.000
0.244 0.256 0.452
0.756 0.744 0.548
0.793 0.242 0.018
0.756 0.744 0.952
0.742 0.293 0.518
0.244 0.256 0.048
0.207 0.758 0.982
0.258 0.707 0.482
```

---

Record 7
VASP calculation (PBE) on crystalline Tb2PmHo6Sc at its relaxed geometry.

## Properties
crystal system	monoclinic
calculated formation energy	127	meV/atom

The structure in POSCAR format:
```
Tb2PmHo6Sc
1.0
-5.889 -6.787 -2.811
6.802 -3.378 -4.184
-0.860 -1.944 8.406
Ho Pm Tb Sc
12 2 4 2
direct
0.884 0.293 0.508
0.689 0.007 0.564
0.311 0.993 0.436
0.557 0.750 0.126
0.057 0.126 0.750
0.384 0.508 0.293
0.189 0.564 0.007
0.616 0.492 0.707
0.811 0.436 0.993
0.443 0.250 0.874
0.116 0.707 0.492
0.943 0.874 0.250
0.250 0.977 0.023
0.750 0.023 0.977
0.952 0.695 0.798
0.548 0.202 0.305
0.452 0.798 0.695
0.048 0.305 0.202
0.750 0.587 0.413
0.250 0.413 0.587
```

---

Number 1: DFT total energy -9.824 eV per atom. Number 2: DFT total energy -3.350 eV per atom. Number 3: DFT total energy -6.036 eV per atom. Number 4: DFT total energy -3.963 eV per atom. Number 5: DFT total energy -5.360 eV per atom. Number 6: DFT total energy -3.396 eV per atom. Number 7: DFT total energy -4.654 eV per atom.